(1)
This record from Alexandria describes crystalline MoBr at its relaxed geometry. The functional is PBE.

Lattice parameters (Å, degrees): 3.2920 3.2920 9.5218 90.00 90.00 120.00
Sites, in units of the cell vectors:
Br: 0.0000 0.0000 0.9212
Br: 0.6667 0.3333 0.3288
Mo: 0.0000 0.0000 0.5314
Mo: 0.6667 0.3333 0.7186

As for the uncorrected formation energy: -0.07 eV/atom. As for the energy above the most stable polymorph in this dataset: 0.00 eV/f.u.

=====

(2)
This record from Alexandria describes crystalline Er6ZrIn at its relaxed geometry. The functional is PBE.

Lattice parameters (Å, degrees): 4.8147 4.8147 9.7194 90.00 90.00 90.00
Sites, in units of the cell vectors:
Er: 0.5000 0.0000 0.7464
Er: 0.5000 0.5000 0.5000
Er: 0.5000 0.0000 0.2536
Er: 0.0000 0.5000 0.2536
Er: 0.0000 0.5000 0.7464
Er: 0.5000 0.5000 0.0000
In: 0.0000 0.0000 0.0000
Zr: 0.0000 0.0000 0.5000

The formation energy from the elements comes out at -105 meV/atom.

=====

(3)
This record from Alexandria describes crystalline Na3Ti3GaO8 at its relaxed geometry. The functional is PBE.

Lattice parameters (Å, degrees): 6.0093 6.0086 6.5437 117.37 90.00 120.00
Site moments in Bohr magnetons follow the coordinates.
Sites, in units of the cell vectors:
O: 0.7709 0.5418 0.3077  0.00
O: 0.2291 0.4582 0.6923  0.00
O: 0.2650 0.5300 0.2945  0.00
O: 0.2668 0.0374 0.3080  0.00
O: 0.7350 0.4700 0.7055  0.00
O: 0.7332 0.9626 0.6920  0.00
O: 0.7706 0.0375 0.3081  0.00
O: 0.2294 0.9625 0.6919  0.00
Ga: 0.0000 0.0000 0.5000  0.01
Na: 0.5000 0.5000 0.0000  0.00
Na: 0.0000 0.5000 0.0000  0.00
Na: 0.0000 0.0000 0.0000  0.00
Ti: 0.5000 0.0000 0.5000  0.53
Ti: 0.5000 0.5000 0.5000  0.55
Ti: 0.0000 0.5000 0.5000  0.55

As for the uncorrected formation energy: -2.39 eV/atom.

=====

Values of energy, in order: -6.326; -4.938; -7.082, all in eV/atom.
Values of N(E_F), in order: 0.3693; 0.9266; 0.2154, all in states/eV/atom.